Record 1
Computed, not measured: a relaxed structure of DyTh2Hg3 at the GGA-PBE level of DFT.

a = 3.643 Å, b = 3.643 Å, c = 12.246 Å
α = 90.00°, β = 90.00°, γ = 90.00°
Sites, in units of the cell vectors:
Dy  0.500  0.500  0.500
Th  0.500  0.500  0.828
Th  0.500  0.500  0.172
Hg  0.000  0.000  0.000
Hg  0.000  0.000  0.650
Hg  0.000  0.000  0.350

## Properties
formation energy from the elements = -297 meV per atom
crystal system = tetragonal
space group = P4/mmm

Record 2
Computed, not measured: a relaxed structure of DyTh2Hg6 at the GGA-PBE level of DFT.

a = 3.401 Å, b = 8.751 Å, c = 8.751 Å
α = 120.00°, β = 90.00°, γ = 90.00°
Sites, in units of the cell vectors:
Dy  0.000  0.000  0.000
Th  0.000  0.333  0.667
Th  0.000  0.667  0.333
Hg  0.500  0.330  0.330
Hg  0.500  0.670  0.670
Hg  0.500  0.000  0.670
Hg  0.500  0.670  0.000
Hg  0.500  0.330  0.000
Hg  0.500  0.000  0.330

## Properties
formation energy from the elements = -300 meV per atom
crystal system = hexagonal
space group = P6/mmm

Record 3
Computed, not measured: a relaxed structure of DyThHg at the GGA-PBE level of DFT.

a = 3.692 Å, b = 5.244 Å, c = 5.244 Å
α = 120.00°, β = 90.00°, γ = 90.00°
Sites, in units of the cell vectors:
Hg  0.493  0.667  0.333
Th  0.002  0.000  0.000
Dy  0.505  0.333  0.667

## Properties
formation energy from the elements = -41 meV per atom
crystal system = trigonal
space group = P3m1
ΔE to the lowest computed polymorph = 0.185 eV per atom

Record 4
Computed, not measured: a relaxed structure of Dy2ThHg6 at the GGA-PBE level of DFT.

a = 3.411 Å, b = 8.673 Å, c = 8.673 Å
α = 120.00°, β = 90.00°, γ = 90.00°
Sites, in units of the cell vectors:
Dy  0.000  0.333  0.667
Dy  0.000  0.667  0.333
Th  0.000  0.000  0.000
Hg  0.500  0.337  0.337
Hg  0.500  0.663  0.663
Hg  0.500  0.000  0.663
Hg  0.500  0.663  0.000
Hg  0.500  0.337  0.000
Hg  0.500  0.000  0.337

## Properties
formation energy from the elements = -342 meV per atom
crystal system = hexagonal
space group = P6/mmm

Record 5
Computed, not measured: a relaxed structure of Dy2ThHg at the GGA-PBE level of DFT.

a = 5.433 Å, b = 5.433 Å, c = 5.433 Å
α = 60.00°, β = 60.00°, γ = 60.00°
Site moments in Bohr magnetons follow the coordinates.
Sites, in units of the cell vectors:
Hg  0.500  0.500  0.500  0.00
Th  0.000  0.000  0.000  0.28
Dy  0.250  0.250  0.250  0.15
Dy  0.750  0.750  0.750  0.15

## Properties
formation energy from the elements = 68 meV per atom
crystal system = cubic
space group = Fm-3m
ΔE to the lowest computed polymorph = 0.322 eV per atom

Record 6
Computed, not measured: a relaxed structure of DyTh2Hg at the GGA-PBE level of DFT.

a = 3.403 Å, b = 3.403 Å, c = 12.334 Å
α = 82.07°, β = 82.07°, γ = 60.00°
Sites, in units of the cell vectors:
Hg  0.500  0.500  0.500
Th  0.092  0.092  0.724
Th  0.908  0.908  0.276
Dy  0.000  0.000  0.000

## Properties
formation energy from the elements = 157 meV per atom
crystal system = trigonal
space group = R-3m
ΔE to the lowest computed polymorph = 0.235 eV per atom

Record 7
Computed, not measured: a relaxed structure of DyThHg at the GGA-PBE level of DFT.

a = 3.573 Å, b = 5.471 Å, c = 8.974 Å
α = 90.00°, β = 101.48°, γ = 90.00°
Sites, in units of the cell vectors:
Hg  0.437  0.250  0.873
Hg  0.563  0.750  0.127
Dy  0.914  0.750  0.828
Dy  0.086  0.250  0.172
Th  0.774  0.250  0.548
Th  0.226  0.750  0.452

## Properties
formation energy from the elements = -225 meV per atom
crystal system = orthorhombic
space group = Cmcm
ΔE to the lowest computed polymorph = 0.000 eV per atom

Record 8
Computed, not measured: a relaxed structure of Dy2Th2Hg at the GGA-PBE level of DFT.

a = 3.612 Å, b = 3.612 Å, c = 11.539 Å
α = 99.00°, β = 99.00°, γ = 90.00°
Sites, in units of the cell vectors:
Dy  0.587  0.587  0.174
Dy  0.413  0.413  0.826
Th  0.804  0.804  0.607
Th  0.196  0.196  0.393
Hg  0.000  0.000  0.000

## Properties
formation energy from the elements = -196 meV per atom
crystal system = tetragonal
space group = I4/mmm

Record 9
Computed, not measured: a relaxed structure of Dy4ThHg at the GGA-PBE level of DFT.

a = 3.584 Å, b = 3.584 Å, c = 13.964 Å
α = 90.00°, β = 90.00°, γ = 90.00°
Sites, in units of the cell vectors:
Dy  0.500  0.500  0.174
Dy  0.000  0.000  0.643
Dy  0.000  0.000  0.357
Dy  0.500  0.500  0.826
Th  0.000  0.000  0.000
Hg  0.500  0.500  0.500

## Properties
formation energy from the elements = -137 meV per atom
crystal system = tetragonal
space group = P4/mmm
ΔE to the lowest computed polymorph = 0.000 eV per atom

Record 10
Computed, not measured: a relaxed structure of DyThHg2 at the GGA-PBE level of DFT.

a = 5.354 Å, b = 5.354 Å, c = 5.354 Å
α = 60.00°, β = 60.00°, γ = 60.00°
Site moments in Bohr magnetons follow the coordinates.
Sites, in units of the cell vectors:
Hg  0.250  0.250  0.250  0.02
Hg  0.750  0.750  0.750  0.02
Th  0.000  0.000  0.000  0.24
Dy  0.500  0.500  0.500  0.30

## Properties
formation energy from the elements = -313 meV per atom
crystal system = cubic
space group = Fm-3m
ΔE to the lowest computed polymorph = 0.028 eV per atom

Record 11
Computed, not measured: a relaxed structure of DyTh4Hg5 at the GGA-PBE level of DFT.

a = 3.472 Å, b = 3.472 Å, c = 22.376 Å
α = 90.00°, β = 90.00°, γ = 90.00°
Sites, in units of the cell vectors:
Dy  0.000  0.000  0.000
Th  0.000  0.000  0.194
Th  0.000  0.000  0.398
Th  0.000  0.000  0.602
Th  0.000  0.000  0.806
Hg  0.500  0.500  0.092
Hg  0.500  0.500  0.297
Hg  0.500  0.500  0.500
Hg  0.500  0.500  0.703
Hg  0.500  0.500  0.908

## Properties
formation energy from the elements = -271 meV per atom
crystal system = tetragonal
space group = P4/mmm

Record 12
Computed, not measured: a relaxed structure of DyTh2Hg at the GGA-PBE level of DFT.

a = 5.034 Å, b = 4.800 Å, c = 4.800 Å
α = 90.00°, β = 90.00°, γ = 90.00°
Sites, in units of the cell vectors:
Hg  0.500  0.500  0.500
Th  0.000  0.000  0.500
Th  0.000  0.500  0.000
Dy  0.500  0.000  0.000

## Properties
formation energy from the elements = -78 meV per atom
crystal system = tetragonal
space group = P4/mmm
ΔE to the lowest computed polymorph = 0.000 eV per atom